VASP calculation (PBE-GGA) on an optimized crystal structure of Er3TmMg12. Values from VASP.

Geometry as Quantum ESPRESSO input:
```
&SYSTEM
  ibrav = 0, nat = 16, ntyp = 3
/
ATOMIC_SPECIES
Er 167.26 Er.upf
Tm 168.93 Tm.upf
Mg 24.30 Mg.upf
CELL_PARAMETERS angstrom
4.599 0.000 0.000
0.000 4.599 0.000
0.000 0.000 18.903
ATOMIC_POSITIONS crystal
Er 0.000 0.000 0.000
Er 0.000 0.000 0.250
Er 0.000 0.000 0.750
Tm 0.000 0.000 0.500
Mg 0.000 0.500 0.125
Mg 0.000 0.500 0.375
Mg 0.000 0.500 0.625
Mg 0.000 0.500 0.875
Mg 0.500 0.000 0.125
Mg 0.500 0.000 0.375
Mg 0.500 0.000 0.625
Mg 0.500 0.000 0.875
Mg 0.500 0.500 0.000
Mg 0.500 0.500 0.250
Mg 0.500 0.500 0.500
Mg 0.500 0.500 0.750
```

Output
Crystal system ... tetragonal
Size of the total moment ... 0.0 μB per cell
Total DFT energy (no corrections) ... -38.05 eV for the cell shown
Formation enthalpy at 0 K ... -47 meV per atom
Calculated volume ... 399.79 Å³/cell